The following is a meta-GGA SCAN calculation of a PBEsol-optimized structure of CdPtBr2, from Alexandria.

Cell and atoms, written as POSCAR:
```
CdPtBr2
1.0
3.8040 0.0000 0.0000
0.0000 3.7025 0.0000
-1.5247 0.0000 6.9220
Cd Pt Br
1 1 2
Cartesian
0.0000 0.0000 0.0000
1.9143 1.8513 0.6903
0.0403 1.8513 5.1746
1.9764 0.0000 2.5619
```

Values from the calculation:
D(E_F): 0.41 states/eV/atom
ρ: 7959 kg/m³
Total moment: 0.000 μB/atom
Uncorrected formation energy: -0.24 eV/atom
Volume: 97.49 Å³/f.u.

***

The following is a meta-GGA SCAN calculation of a PBEsol-optimized structure of Cd4PtBr, from Alexandria.

Cell and atoms, written as POSCAR:
```
Cd4PtBr
1.0
0.0000 3.9682 3.9682
3.9682 0.0000 3.9682
3.9682 3.9682 0.0000
Cd Pt Br
4 1 1
Cartesian
2.9802 2.9802 2.9802
4.9563 4.9563 2.9802
4.9563 2.9802 4.9563
2.9802 4.9563 4.9563
5.9524 5.9524 5.9524
0.0000 0.0000 0.0000
```

Values from the calculation:
D(E_F): 0.43 states/eV/atom
ρ: 9628 kg/m³
Total moment: 0.000 μB/atom
Uncorrected formation energy: 0.23 eV/atom
Volume: 124.97 Å³/f.u.

***

The following is a meta-GGA SCAN calculation of a PBEsol-optimized structure of Cd2PtBr, from Alexandria.

Cell and atoms, written as POSCAR:
```
Cd2PtBr
1.0
1.6591 0.9579 8.4503
-1.6591 0.9579 8.4503
0.0000 -1.9157 8.4503
Cd Pt Br
2 1 1
Cartesian
0.0000 0.0000 0.0000
0.0000 0.0000 6.1805
0.0000 0.0000 12.6914
0.0000 0.0000 19.0668
```

Values from the calculation:
D(E_F): 0.40 states/eV/atom
ρ: 10300 kg/m³
Total moment: 0.000 μB/atom
Uncorrected formation energy: 0.12 eV/atom
Volume: 80.58 Å³/f.u.

***

The following is a meta-GGA SCAN calculation of a PBEsol-optimized structure of CdPtBr3, from Alexandria.

Cell and atoms, written as POSCAR:
```
CdPtBr3
1.0
5.0624 0.0000 0.0000
0.0000 5.0624 0.0000
0.0000 0.0000 5.0624
Cd Pt Br
1 1 3
Cartesian
0.0000 0.0000 0.0000
2.5312 2.5312 2.5312
0.0000 2.5312 2.5312
2.5312 0.0000 2.5312
2.5312 2.5312 0.0000
```

Values from the calculation:
D(E_F): 0.51 states/eV/atom
ρ: 7004 kg/m³
Total moment: 0.000 μB/atom
Uncorrected formation energy: -0.07 eV/atom
Volume: 129.74 Å³/f.u.